[1]
Compound: LaPt
Source: the Alexandria database
Functional: PBE
Structure: optimized geometry

Cell: 4.219 6.627 3.996 Å, 72.45 90.00 108.56°
Atoms (fractional coordinates):
La 0.990 0.980 0.010
Pt 0.716 0.432 0.784
La 0.260 0.520 0.240
Pt 0.534 0.068 0.466

Values from the calculation:
Final energy (eV per atom): -6.45
M_tot (Bohr magnetons per cell): 0.00
Density of states at the Fermi level (states/eV/f.u.): 1.4

[2]
Compound: LaPt2
Source: the Alexandria database
Functional: PBE
Structure: optimized geometry

Cell: 4.075 8.952 4.075 Å, 76.84 90.00 103.16°
Atoms (fractional coordinates):
La 0.750 0.500 0.750
Pt 0.577 0.154 0.423
Pt 0.173 0.346 0.327
Pt 0.423 0.846 0.577
Pt 0.327 0.654 0.173
La 0.000 0.000 0.000

Values from the calculation:
Final energy (eV per atom): -6.68
M_tot (Bohr magnetons per cell): 0.00
Density of states at the Fermi level (states/eV/f.u.): 1.2

[3]
Compound: La2Pt3
Source: the Alexandria database
Functional: PBE
Structure: optimized geometry

Cell: 7.748 4.446 4.446 Å, 60.00 106.67 106.67°
Atoms (fractional coordinates):
La 0.227 0.409 0.409
Pt 0.503 0.834 0.834
Pt 0.497 0.166 0.166
La 0.773 0.591 0.591
Pt 0.000 0.000 0.000

Values from the calculation:
Final energy (eV per atom): -6.65
M_tot (Bohr magnetons per cell): 0.00
Density of states at the Fermi level (states/eV/f.u.): 4.6

[4]
Compound: La3Pt2
Source: the Alexandria database
Functional: PBE
Structure: optimized geometry

Cell: 10.447 4.276 4.276 Å, 60.00 101.81 101.81°
Atoms (fractional coordinates):
Pt 0.176 0.392 0.392
La 0.326 0.775 0.775
La 0.674 0.225 0.225
La 0.000 0.000 0.000
Pt 0.824 0.608 0.608

Values from the calculation:
Final energy (eV per atom): -6.31
Energy relative to the lowest polymorph listed for this composition (meV/atom): 56
M_tot (Bohr magnetons per cell): 0.00
Density of states at the Fermi level (states/eV/f.u.): 4.2

[5]
Compound: LaPt2
Source: the Alexandria database
Functional: PBE
Structure: optimized geometry

Cell: 5.951 5.951 5.951 Å, 125.02 125.02 81.51°
Atoms (fractional coordinates):
Pt 0.325 0.825 0.149
Pt 0.175 0.325 0.500
La 0.250 0.250 0.000
Pt 0.825 0.675 0.500
Pt 0.675 0.175 0.851
La 0.750 0.750 0.000

Values from the calculation:
Final energy (eV per atom): -6.60
M_tot (Bohr magnetons per cell): 0.00
Density of states at the Fermi level (states/eV/f.u.): 3.0

[6]
Compound: La5Pt3
Source: the Alexandria database
Functional: PBE
Structure: optimized geometry

Cell: 6.788 11.558 11.558 Å, 90.00 90.00 90.00°
Atoms (fractional coordinates):
Pt 0.250 0.654 0.654
La 0.119 0.793 0.408
La 0.000 0.000 0.000
La 0.119 0.092 0.293
La 0.381 0.592 0.207
Pt 0.121 0.500 0.000
La 0.619 0.793 0.592
La 0.500 0.500 0.500
Pt 0.750 0.654 0.346
La 0.381 0.707 0.908
Pt 0.250 0.846 0.154
La 0.381 0.293 0.092
La 0.619 0.207 0.408
Pt 0.750 0.346 0.654
Pt 0.379 0.000 0.500
La 0.000 0.500 0.500
La 0.381 0.408 0.793
La 0.619 0.908 0.293
Pt 0.250 0.154 0.846
La 0.881 0.408 0.207
Pt 0.621 0.500 0.000
La 0.500 0.000 0.000
Pt 0.879 0.000 0.500
Pt 0.750 0.846 0.846
La 0.119 0.908 0.707
La 0.881 0.293 0.908
Pt 0.250 0.346 0.346
La 0.881 0.592 0.793
La 0.619 0.092 0.707
La 0.119 0.207 0.592
La 0.881 0.707 0.092
Pt 0.750 0.154 0.154

Values from the calculation:
Final energy (eV per atom): -6.28
Energy relative to the lowest polymorph listed for this composition (meV/atom): 0
M_tot (Bohr magnetons per cell): 0.00
Density of states at the Fermi level (states/eV/f.u.): 7.4

[7]
Compound: LaPt5
Source: the Alexandria database
Functional: PBE
Structure: optimized geometry

Cell: 4.601 4.601 6.041 Å, 90.14 90.14 60.01°
Atoms (fractional coordinates):
La 0.000 0.000 0.000
Pt 0.667 0.667 0.276
Pt 0.333 0.333 0.724
Pt 0.334 0.334 0.276
Pt 0.666 0.666 0.724
Pt 0.000 0.000 0.500

Values from the calculation:
Final energy (eV per atom): -6.41
M_tot (Bohr magnetons per cell): 0.00
Density of states at the Fermi level (states/eV/f.u.): 5.0

[8]
Compound: La2Pt
Source: the Alexandria database
Functional: PBE
Structure: optimized geometry

Cell: 14.158 14.158 14.158 Å, 165.16 165.16 21.05°
Atoms (fractional coordinates):
Pt 0.000 0.000 0.000
Pt 0.750 0.250 0.500
La 0.438 0.438 0.000
La 0.312 0.812 0.500
La 0.188 0.688 0.500
La 0.562 0.562 0.000

Values from the calculation:
Final energy (eV per atom): -5.96
M_tot (Bohr magnetons per cell): 0.00
Density of states at the Fermi level (states/eV/f.u.): 3.8

[9]
Compound: LaPt4
Source: the Alexandria database
Functional: PBE
Structure: optimized geometry

Cell: 5.101 5.101 5.101 Å, 90.00 90.00 90.00°
Atoms (fractional coordinates):
Pt 0.000 0.000 0.000
Pt 0.000 0.500 0.500
Pt 0.500 0.000 0.500
Pt 0.500 0.500 0.000
La 0.500 0.500 0.500

Values from the calculation:
Final energy (eV per atom): -4.50
M_tot (Bohr magnetons per cell): 0.00
Density of states at the Fermi level (states/eV/f.u.): 3.4

[10]
Compound: La2Pt
Source: the Alexandria database
Functional: PBE
Structure: optimized geometry

Cell: 4.237 4.237 6.686 Å, 90.00 90.00 120.00°
Atoms (fractional coordinates):
Pt 0.667 0.333 0.333
La 0.000 0.000 0.091
La 0.333 0.667 0.576

Values from the calculation:
Final energy (eV per atom): -6.06
M_tot (Bohr magnetons per cell): 0.00
Density of states at the Fermi level (states/eV/f.u.): 3.9

no.,formation energy (eV/atom)
1,-0.966
2,-1.007
3,-1.056
4,-0.934
5,-0.927
6,-0.940
7,-0.554
8,-0.666
9,1.319
10,-0.759